No. 1
Here is a relaxed PrCoOs crystal from OQMD. Energies are from PBE.

Cell lengths 6.3759, 6.3759, 6.3759 Å; angles 90.00, 90.00, 90.00 degrees
Positions (direct):
1 Pr 0.0000 0.0000 0.0000
2 Pr 0.0000 0.5000 0.5000
3 Pr 0.5000 0.0000 0.5000
4 Pr 0.5000 0.5000 0.0000
5 Co 0.0000 0.0000 0.5000
6 Co 0.0000 0.5000 0.0000
7 Co 0.5000 0.0000 0.0000
8 Co 0.5000 0.5000 0.5000
9 Os 0.2500 0.2500 0.7500
10 Os 0.2500 0.7500 0.2500
11 Os 0.7500 0.2500 0.2500
12 Os 0.7500 0.7500 0.7500

Properties
Energy relative to the lowest polymorph listed for this composition, kJ per mole of atoms: 0.0
Energy, eV/cell: -83.52
Space group: F-43m
E_form, eV per atom: 0.7422



No. 2
Here is a relaxed ScFeBOs crystal from OQMD. Energies are from PBE.

Cell lengths 5.9822, 5.9822, 5.9822 Å; angles 90.00, 90.00, 90.00 degrees
Positions (direct):
1 Sc 0.0000 0.0000 0.0000
2 Sc 0.0000 0.5000 0.5000
3 Sc 0.5000 0.0000 0.5000
4 Sc 0.5000 0.5000 0.0000
5 Fe 0.0000 0.0000 0.5000
6 Fe 0.0000 0.5000 0.0000
7 Fe 0.5000 0.0000 0.0000
8 Fe 0.5000 0.5000 0.5000
9 B 0.2500 0.2500 0.2500
10 B 0.2500 0.7500 0.7500
11 B 0.7500 0.2500 0.7500
12 B 0.7500 0.7500 0.2500
13 Os 0.2500 0.2500 0.7500
14 Os 0.2500 0.7500 0.2500
15 Os 0.7500 0.2500 0.2500
16 Os 0.7500 0.7500 0.7500

Properties
Energy relative to the lowest polymorph listed for this composition, kJ per mole of atoms: 7.4
Energy, eV/cell: -122.82
Space group: F-43m



No. 3
Here is a relaxed TbB4Sb crystal from OQMD. Energies are from PBE.

Cell lengths 3.2011, 5.2151, 8.7342 Å; angles 90.00, 90.00, 90.00 degrees
Positions (direct):
1 Tb 0.0000 0.0000 0.0000
2 Tb 0.5000 0.5000 0.5000
3 B 0.0000 0.3210 0.2661
4 B 0.0000 0.3210 0.7339
5 B 0.0000 0.6790 0.2661
6 B 0.0000 0.6790 0.7339
7 B 0.5000 0.1790 0.2339
8 B 0.5000 0.1790 0.7661
9 B 0.5000 0.8210 0.2339
10 B 0.5000 0.8210 0.7661
11 Sb 0.0000 0.0000 0.5000
12 Sb 0.5000 0.5000 0.0000

Properties
Energy relative to the lowest polymorph listed for this composition, kJ per mole of atoms: 0.0
Energy, eV/cell: -70.92
Space group: Immm



No. 4
Here is a relaxed Tb2TmIn3NiGe2 crystal from OQMD. Energies are from PBE.

Cell lengths 4.2332, 7.3063, 7.3063 Å; angles 119.84, 90.00, 90.00 degrees
Positions (direct):
1 Tb 0.0000 0.2016 0.7984
2 Tb 0.0000 0.7984 0.2016
3 Tm 0.0000 0.6040 0.6040
4 In 0.5000 0.2027 0.4426
5 In 0.5000 0.4426 0.2027
6 In 0.5000 0.9627 0.9627
7 Ni 0.0000 0.2060 0.2060
8 Ge 0.5000 0.5364 0.8661
9 Ge 0.5000 0.8661 0.5364

Properties
Energy, eV/cell: -42.15
Space group: Amm2



No. 5
Here is a relaxed Nb4Ni2C crystal from OQMD. Energies are from PBE.

Cell lengths 8.3052, 8.3052, 8.3052 Å; angles 60.00, 60.00, 60.00 degrees
Positions (direct):
1 Nb 0.0000 0.0000 0.0000
2 Nb 0.0000 0.0000 0.5000
3 Nb 0.0000 0.5000 0.0000
4 Nb 0.1914 0.1914 0.5586
5 Nb 0.1914 0.5586 0.1914
6 Nb 0.1914 0.5586 0.5586
7 Nb 0.4414 0.4414 0.8086
8 Nb 0.4414 0.8086 0.4414
9 Nb 0.4414 0.8086 0.8086
10 Nb 0.5000 0.0000 0.0000
11 Nb 0.5586 0.1914 0.1914
12 Nb 0.5586 0.1914 0.5586
13 Nb 0.5586 0.5586 0.1914
14 Nb 0.8086 0.4414 0.4414
15 Nb 0.8086 0.4414 0.8086
16 Nb 0.8086 0.8086 0.4414
17 Ni 0.1147 0.7951 0.7951
18 Ni 0.2049 0.2049 0.2049
19 Ni 0.2049 0.2049 0.8853
20 Ni 0.2049 0.8853 0.2049
21 Ni 0.7951 0.1147 0.7951
22 Ni 0.7951 0.7951 0.1147
23 Ni 0.7951 0.7951 0.7951
24 Ni 0.8853 0.2049 0.2049
25 C 0.0000 0.5000 0.5000
26 C 0.5000 0.0000 0.5000
27 C 0.5000 0.5000 0.0000
28 C 0.5000 0.5000 0.5000

Properties
Energy, eV/cell: -252.69
Space group: Fd-3m



No. 6
Here is a relaxed Lu2SiGePd crystal from OQMD. Energies are from PBE.

Cell lengths 5.6275, 5.6275, 10.0261 Å; angles 115.98, 115.98, 43.83 degrees
Positions (direct):
1 Lu 0.9998 0.9998 0.1738
2 Lu 0.0002 0.0002 0.8262
3 Lu 0.1832 0.1832 0.6094
4 Lu 0.8168 0.8168 0.3906
5 Si 0.3685 0.3685 0.9312
6 Si 0.6315 0.6315 0.0688
7 Ge 0.4709 0.4709 0.6169
8 Ge 0.5291 0.5291 0.3831
9 Pd 0.2721 0.2721 0.1306
10 Pd 0.7279 0.7279 0.8694

Properties
Energy, eV/cell: -57.83
Space group: C2/m



No. 7
Here is a relaxed NpTlRe crystal from OQMD. Energies are from PBE.

Cell lengths 6.6231, 6.6231, 6.6231 Å; angles 90.00, 90.00, 90.00 degrees
Positions (direct):
1 Np 0.0000 0.0000 0.0000
2 Np 0.0000 0.5000 0.5000
3 Np 0.5000 0.0000 0.5000
4 Np 0.5000 0.5000 0.0000
5 Tl 0.2500 0.2500 0.2500
6 Tl 0.2500 0.7500 0.7500
7 Tl 0.7500 0.2500 0.7500
8 Tl 0.7500 0.7500 0.2500
9 Re 0.0000 0.0000 0.5000
10 Re 0.0000 0.5000 0.0000
11 Re 0.5000 0.0000 0.0000
12 Re 0.5000 0.5000 0.5000

Properties
Energy, eV/cell: -93.15
Space group: F-43m



No. 8
Here is a relaxed DyInPt crystal from OQMD. Energies are from PBE.

Cell lengths 6.7609, 6.7609, 6.7609 Å; angles 90.00, 90.00, 90.00 degrees
Positions (direct):
1 Dy 0.0000 0.0000 0.0000
2 Dy 0.0000 0.5000 0.5000
3 Dy 0.5000 0.0000 0.5000
4 Dy 0.5000 0.5000 0.0000
5 In 0.2500 0.2500 0.7500
6 In 0.2500 0.7500 0.2500
7 In 0.7500 0.2500 0.2500
8 In 0.7500 0.7500 0.7500
9 Pt 0.2500 0.2500 0.2500
10 Pt 0.2500 0.7500 0.7500
11 Pt 0.7500 0.2500 0.7500
12 Pt 0.7500 0.7500 0.2500

Properties
Energy, eV/cell: -56.59
Space group: F-43m



No. 9
Here is a relaxed HfPa3Os crystal from OQMD. Energies are from PBE.

Cell lengths 7.2320, 7.2320, 7.2320 Å; angles 121.38, 121.38, 87.63 degrees
Positions (direct):
1 Hf 0.0000 0.0000 0.0000
2 Hf 0.5000 0.5000 0.0000
3 Pa 0.1347 0.6347 0.7695
4 Pa 0.2500 0.2500 0.0000
5 Pa 0.3653 0.1347 0.5000
6 Pa 0.6347 0.8653 0.5000
7 Pa 0.7500 0.7500 0.0000
8 Pa 0.8653 0.3653 0.2305
9 Os 0.2500 0.7500 0.5000
10 Os 0.7500 0.2500 0.5000

Properties
Energy, eV/cell: -88.34
Space group: I4/mcm
E_form, eV per atom: 1.1002



No. 10
Here is a relaxed AlSiTc crystal from OQMD. Energies are from PBE.

Cell lengths 5.7303, 5.7303, 5.7303 Å; angles 90.00, 90.00, 90.00 degrees
Positions (direct):
1 Al 0.0000 0.0000 0.0000
2 Al 0.0000 0.5000 0.5000
3 Al 0.5000 0.0000 0.5000
4 Al 0.5000 0.5000 0.0000
5 Si 0.2500 0.2500 0.2500
6 Si 0.2500 0.7500 0.7500
7 Si 0.7500 0.2500 0.7500
8 Si 0.7500 0.7500 0.2500
9 Tc 0.0000 0.0000 0.5000
10 Tc 0.0000 0.5000 0.0000
11 Tc 0.5000 0.0000 0.0000
12 Tc 0.5000 0.5000 0.5000

Properties
Energy relative to the lowest polymorph listed for this composition, kJ per mole of atoms: 54.6
Energy, eV/cell: -79.01
Space group: F-43m



No. 11
Here is a relaxed Si2W4CN crystal from OQMD. Energies are from PBE.

Cell lengths 3.0430, 3.0430, 12.7430 Å; angles 90.00, 90.00, 120.00 degrees
Positions (direct):
1 Si 0.3333 0.6667 0.2507
2 Si 0.6667 0.3333 0.7493
3 W 0.3333 0.6667 0.5964
4 W 0.3333 0.6667 0.8969
5 W 0.6667 0.3333 0.1031
6 W 0.6667 0.3333 0.4036
7 C 0.0000 0.0000 0.5000
8 N 0.0000 0.0000 0.0000

Properties
Energy, eV/cell: -79.12
Space group: P-3m1



No. 12
Here is a relaxed Tb2ErNi9 crystal from OQMD. Energies are from PBE.

Cell lengths 8.5875, 8.5875, 8.5875 Å; angles 33.40, 33.40, 33.40 degrees
Positions (direct):
1 Tb 0.1390 0.1390 0.1390
2 Tb 0.8610 0.8610 0.8610
3 Er 0.0000 0.0000 0.0000
4 Ni 0.0809 0.5825 0.5825
5 Ni 0.3330 0.3330 0.3330
6 Ni 0.4175 0.4175 0.9191
7 Ni 0.4175 0.9191 0.4175
8 Ni 0.5000 0.5000 0.5000
9 Ni 0.5825 0.0809 0.5825
10 Ni 0.5825 0.5825 0.0809
11 Ni 0.6670 0.6670 0.6670
12 Ni 0.9191 0.4175 0.4175

Properties
Energy, eV/cell: -68.87
Space group: R-3m
E_form, eV per atom: -0.4117



> What is the formula in the first record?

PrCoOs